Here is an optimized crystal structure of ThTlIn from OQMD via LeMat-Bulk. Energies are from PBE-GGA.

Computed properties:
total moment = 0.001 Bohr magnetons per cell
symmetry = F-43m (216)
raw total energy = -12.02 eV per cell

Cell and atoms, written as extended XYZ:
```
3
Lattice="-4.972 0.957 0.784 -2.914 1.728 -3.844 -3.555 -3.043 -2.087" Properties=species:S:1:pos:R:3 pbc="T T T"
In -2.860 -0.089 -1.287
Th -8.581 -0.268 -3.861
Tl 0.000 0.000 0.000
```